No. 1
GGA-PBE Ac2TeF, relaxed; uncorrected formation energy = -7.270 eV per formula unit; magnetic moment = 0.000 μB per atom; density = 8.4 g/cm³; final energy = -20.5 eV/cell; relative energy among the computed polymorphs = 0.000 eV per atom
1.0
2.118 1.223 7.637
-2.118 1.223 7.637
0.000 -2.445 7.637
Ac Te F
2 1 1
direct
0.234 0.234 0.234 Ac
0.766 0.766 0.766 Ac
0.000 0.000 0.000 Te
0.500 0.500 0.500 F

=====

No. 2
GGA-PBE PmSm5Ho3, relaxed; magnetic moment = 0.000 μB per atom; density = 7.2 g/cm³; final energy = -76.7 eV/cell; relative energy among the computed polymorphs = 0.237 eV per atom; E_form = 0.41 eV/atom
1.0
8.463 -4.083 0.000
8.463 4.083 0.000
-8.162 0.000 9.297
Pm Sm Ho
2 10 6
direct
0.237 0.237 0.132 Pm
0.763 0.763 0.868 Pm
0.132 0.132 0.573 Sm
0.139 0.734 0.224 Sm
0.266 0.861 0.776 Sm
0.304 0.304 0.937 Sm
0.319 0.681 0.000 Sm
0.681 0.319 0.000 Sm
0.696 0.696 0.063 Sm
0.734 0.139 0.224 Sm
0.861 0.266 0.776 Sm
0.868 0.868 0.427 Sm
0.000 0.000 0.000 Ho
0.176 0.176 0.341 Ho
0.387 0.387 0.685 Ho
0.500 0.500 0.500 Ho
0.613 0.613 0.315 Ho
0.824 0.824 0.659 Ho

=====

No. 3
GGA-PBE Eu3InNi, relaxed; magnetic moment = 4.284 μB per atom; density = 6.4 g/cm³; final energy = -40.0 eV/cell; E_form = -0.14 eV/atom
1.0
5.478 0.000 0.000
0.000 5.478 0.000
0.000 0.000 5.478
Eu In Ni
3 1 1
direct
0.000 0.000 0.500 Eu
0.000 0.500 0.000 Eu
0.500 0.000 0.000 Eu
0.500 0.500 0.500 In
0.000 0.000 0.000 Ni

=====

No. 4
GGA-PBE KInTeI2, relaxed; uncorrected formation energy = -0.841 eV per formula unit; magnetic moment = 0.222 μB per atom; density = 2.7 g/cm³; final energy = -10.9 eV/cell; relative energy among the computed polymorphs = 0.412 eV per atom
1.0
5.879 0.000 0.000
0.000 5.879 0.000
0.000 0.000 9.646
K In Te I
1 1 1 2
direct
0.000 0.000 0.000 K
0.000 0.000 0.500 In
0.500 0.500 0.000 Te
0.000 0.500 0.500 I
0.500 0.000 0.500 I

=====

No. 5
GGA-PBE GaHg7, relaxed; magnetic moment = 0.000 μB per atom; density = 11.7 g/cm³; final energy = -4.9 eV/cell; relative energy among the computed polymorphs = 0.000 eV per atom; E_form = 0.03 eV/atom
1.0
2.611 1.508 8.871
-2.611 1.508 8.871
0.000 -3.015 8.871
Ga Hg
1 7
direct
0.000 0.000 0.000 Ga
0.121 0.121 0.121 Hg
0.248 0.248 0.248 Hg
0.372 0.372 0.372 Hg
0.500 0.500 0.500 Hg
0.628 0.628 0.628 Hg
0.752 0.752 0.752 Hg
0.879 0.879 0.879 Hg

=====

No. 6
GGA-PBE Na4LaNp3Se8, relaxed; uncorrected formation energy = -21.302 eV per formula unit; magnetic moment = 0.750 μB per atom; density = 6.0 g/cm³; final energy = -98.2 eV/cell
1.0
4.249 2.453 6.965
-4.249 2.453 6.965
0.000 -4.906 6.965
Na La Np Se
4 1 3 8
direct
0.000 0.000 0.000 Na
0.000 0.500 0.500 Na
0.500 0.000 0.500 Na
0.500 0.500 0.000 Na
0.500 0.500 0.500 La
0.000 0.000 0.500 Np
0.000 0.500 0.000 Np
0.500 0.000 0.000 Np
0.237 0.749 0.749 Se
0.242 0.242 0.242 Se
0.251 0.251 0.763 Se
0.251 0.763 0.251 Se
0.749 0.237 0.749 Se
0.749 0.749 0.237 Se
0.758 0.758 0.758 Se
0.763 0.251 0.251 Se

=====

> What is the final energy in the second record?

-76.7 eV/cell

=====

> The lowest final energy belongs to which entry?

Na4LaNp3Se8